1.
DFT (GGA-PBE) results for a geometry-optimized HgH4Pd5 structure.

The structure in POSCAR format:
```
HgH4Pd5
1.0
-0.6955 -1.6598 -2.4034
5.1468 -2.9950 0.5789
-1.0170 -4.2165 5.0817
Hg H Pd
1 4 5
Direct
0.5000 0.0000 0.0000 Hg
0.2512 0.8519 0.5025 H
0.0870 0.4592 0.1740 H
0.7488 0.1481 0.4975 H
0.9130 0.5408 0.8260 H
0.8358 0.8419 0.6715 Pd
0.8331 0.3374 0.6661 Pd
0.1669 0.6626 0.3339 Pd
0.5000 0.5000 0.0000 Pd
0.1642 0.1581 0.3285 Pd
```

Computed properties:
The energy above the most stable polymorph in this dataset comes out at 0.000 eV per atom. The value obtained for the theoretical density is 10850 kg/m³. The calculated total energy is -4.087 eV/atom. For the volume, the calculation gives 11.28 A^3/atom. The density of states at the Fermi level comes out at 0.3007 states/eV per atom.



2.
DFT (GGA-PBE) results for a geometry-optimized YLuTe3 structure.

The structure in POSCAR format:
```
YLuTe3
1.0
-10.5772 6.6442 6.1079
-8.3104 -4.1597 2.4970
3.7605 -8.2776 3.1530
Y Lu Te
4 4 12
Direct
0.7500 0.1832 0.6832 Y
0.2500 0.8168 0.3168 Y
0.7500 0.4804 0.9804 Y
0.2500 0.5196 0.0196 Y
0.1328 0.4216 0.3748 Lu
0.3672 0.8748 0.9216 Lu
0.8672 0.5784 0.6252 Lu
0.6328 0.1252 0.0784 Lu
0.3901 0.3853 0.4506 Te
0.1099 0.9506 0.8853 Te
0.6099 0.6147 0.5494 Te
0.8901 0.0494 0.1147 Te
0.0992 0.2476 0.1340 Te
0.4008 0.6340 0.7476 Te
0.9008 0.7524 0.8660 Te
0.5992 0.3660 0.2524 Te
0.5176 0.9580 0.8263 Te
0.9824 0.3263 0.4580 Te
0.4824 0.0420 0.1737 Te
0.0176 0.6737 0.5420 Te
```

Computed properties:
The formation energy without anion corrections comes out at -1.203 eV/atom. The energy above the most stable polymorph in this dataset comes out at 0.188 eV per atom. The value obtained for the theoretical density is 6389 kg/m³. The calculated total energy is -5.285 eV/atom. For the volume, the calculation gives 33.61 A^3/atom. The density of states at the Fermi level comes out at 0.0000 states/eV per atom.



3.
DFT (GGA-PBE) results for a geometry-optimized GaFe4Ni structure.

The structure in POSCAR format:
```
GaFe4Ni
1.0
2.9416 -0.1395 0.0001
0.1395 2.9416 0.0001
-0.0002 -0.0003 8.2414
Ga Fe Ni
1 4 1
Direct
0.0000 0.0000 0.0000 Ga
0.5000 0.5000 0.8261 Fe
0.5000 0.5000 0.1739 Fe
0.0000 0.0000 0.3312 Fe
0.0000 0.0000 0.6688 Fe
0.5000 0.5000 0.5000 Ni
```

Computed properties:
For the formation enthalpy at 0 K, the calculation gives -3 kJ/mol of atoms. The value obtained for the theoretical density is 8173 kg/m³. The calculated total energy is -7.138 eV/atom. For the volume, the calculation gives 11.91 A^3/atom. The density of states at the Fermi level comes out at 0.9775 states/eV per atom.



4.
DFT (GGA-PBE) results for a geometry-optimized NaTeS2 structure.

The structure in POSCAR format:
```
NaTeS2
1.0
5.8310 0.0000 0.0000
0.0000 5.8310 0.0000
2.9155 2.9155 7.2056
Na S Te
2 4 2
Direct
0.5000 0.5000 0.0000 Na
0.2500 0.7500 0.5000 Na
0.6649 0.1250 0.2500 S
0.0851 0.6250 0.2500 S
0.3750 0.3351 0.7500 S
0.8750 0.9149 0.7500 S
0.0000 0.0000 0.0000 Te
0.7500 0.2500 0.5000 Te
```

Computed properties:
The formation energy without anion corrections comes out at -0.242 eV/atom. The value obtained for the theoretical density is 2911 kg/m³. The calculated total energy is -3.421 eV/atom. For the volume, the calculation gives 30.62 A^3/atom. The density of states at the Fermi level comes out at 0.3305 states/eV per atom.



5.
DFT (GGA-PBE) results for a geometry-optimized PrDy2TlC structure.

The structure in POSCAR format:
```
PrDy2TlC
1.0
5.1679 0.0000 0.0000
0.0000 4.9432 0.0000
0.0000 0.0000 4.9432
Pr Dy Tl C
1 2 1 1
Direct
0.5000 0.0000 0.0000 Pr
0.0000 0.0000 0.5000 Dy
0.0000 0.5000 0.0000 Dy
0.5000 0.5000 0.5000 Tl
0.0000 0.0000 0.0000 C
```

Computed properties:
For the formation enthalpy at 0 K, the calculation gives -35 kJ/mol of atoms. The value obtained for the theoretical density is 8972 kg/m³. The calculated total energy is -5.481 eV/atom. For the volume, the calculation gives 25.26 A^3/atom. The density of states at the Fermi level comes out at 0.4170 states/eV per atom.



6.
DFT (GGA-PBE) results for a geometry-optimized Dy2ZrSb4 structure.

The structure in POSCAR format:
```
Dy2ZrSb4
1.0
-1.8889 3.6195 -1.2809
-2.6580 -0.2026 3.3472
7.0830 5.8115 5.9765
Dy Zr Sb
2 1 4
Direct
0.5000 0.0000 0.7193 Dy
0.0000 0.5000 0.2807 Dy
0.5000 0.5000 0.0000 Zr
0.5000 0.0000 0.1745 Sb
0.0000 0.5000 0.8255 Sb
0.5000 0.5000 0.5000 Sb
0.0000 0.0000 0.5000 Sb
```

Computed properties:
The formation energy without anion corrections comes out at -0.659 eV/atom. The value obtained for the theoretical density is 7489 kg/m³. The calculated total energy is -5.551 eV/atom. For the volume, the calculation gives 28.61 A^3/atom. The density of states at the Fermi level comes out at 0.4970 states/eV per atom.



7.
DFT (GGA-PBE) results for a geometry-optimized Rb2NaHg6Bi structure.

The structure in POSCAR format:
```
Rb2NaHg6Bi
1.0
8.4593 -0.0004 0.0000
0.0006 8.4593 0.0000
4.2299 4.2294 5.9817
Rb Na Hg Bi
2 1 6 1
Direct
0.2500 0.7500 0.5000 Rb
0.7500 0.2500 0.5000 Rb
0.5000 0.5000 0.0000 Na
0.2573 0.7427 0.0000 Hg
0.7426 0.7426 0.0000 Hg
0.2574 0.2574 0.4853 Hg
0.7427 0.2573 0.0000 Hg
0.2574 0.2574 0.0000 Hg
0.7426 0.7426 0.5147 Hg
0.0000 0.0000 0.0000 Bi
```

Computed properties:
For the formation enthalpy at 0 K, the calculation gives -8 kJ/mol of atoms. The value obtained for the theoretical density is 6232 kg/m³. The calculated total energy is -0.975 eV/atom. For the volume, the calculation gives 42.80 A^3/atom. The density of states at the Fermi level comes out at 0.6902 states/eV per atom.



8.
DFT (GGA-PBE) results for a geometry-optimized YNb3F structure.

The structure in POSCAR format:
```
YNb3F
1.0
5.0375 0.0000 0.0000
0.0000 5.0375 0.0000
0.0000 0.0000 5.0375
Y Nb F
1 3 1
Direct
0.0000 0.0000 0.0000 Y
0.0000 0.5000 0.0000 Nb
0.0000 0.0000 0.5000 Nb
0.5000 0.0000 0.0000 Nb
0.5000 0.5000 0.5000 F
```

Computed properties:
The formation energy without anion corrections comes out at 2.123 eV/atom. The energy above the most stable polymorph in this dataset comes out at 2.126 eV per atom. The value obtained for the theoretical density is 5022 kg/m³. The calculated total energy is -5.586 eV/atom. For the volume, the calculation gives 25.57 A^3/atom. The density of states at the Fermi level comes out at 1.8095 states/eV per atom.



Q: The highest calculated total energy belongs to which entry?
A: Rb2NaHg6Bi



Q: Number 2 is which compound?
A: YLuTe3



Q: The lowest theoretical density belongs to which entry?
A: NaTeS2



Q: The highest theoretical density belongs to which entry?
A: HgH4Pd5